Here is a relaxed structure of TiS2 from Alexandria via LeMat-Bulk. Energies are from PBE-GGA.

The structure in extended XYZ format:
```
12
Lattice="6.182 0.000 0.000 2.687 5.940 0.000 1.922 2.202 8.074" Properties=species:S:1:pos:R:3 pbc="T T T"
Ti 0.000 0.000 0.000
Ti 2.304 4.071 4.037
Ti 4.709 2.468 5.083
Ti 6.082 5.674 2.992
S 3.059 3.614 6.410
S 2.516 1.651 4.036
S 4.668 6.059 1.097
S 4.449 3.894 3.108
S 6.342 4.248 4.966
S 6.123 2.083 6.977
S 8.275 6.491 4.038
S 7.732 4.528 1.664
```

Summary:
**E_form (uncorrected)**: -0.88 eV per atom
**Magnetization**: 0.0 μB/cell

---

Here is a relaxed structure of TiS2 from Alexandria via LeMat-Bulk. Energies are from PBE-GGA.

The structure in extended XYZ format:
```
12
Lattice="0.000 4.909 4.909 4.909 0.000 4.909 4.909 4.909 0.000" Properties=species:S:1:pos:R:3 pbc="T T T"
Ti 0.000 0.000 0.000
Ti 2.455 2.455 0.000
Ti 2.455 0.000 2.455
Ti 0.000 2.455 2.455
S 7.386 4.888 4.888
S 2.433 2.433 2.433
S 4.931 4.931 2.433
S 4.931 2.433 4.931
S 4.888 7.386 4.888
S 4.888 4.888 7.386
S 7.386 7.386 7.386
S 2.433 4.931 4.931
```

Summary:
**E_form (uncorrected)**: -1.26 eV per atom
**Magnetization**: 0.0 μB/cell

---

Here is a relaxed structure of TiS from Alexandria via LeMat-Bulk. Energies are from PBE-GGA.

The structure in extended XYZ format:
```
16
Lattice="10.057 0.000 0.000 0.000 10.057 0.000 0.000 0.000 3.791" Properties=species:S:1:pos:R:3 pbc="T T T"
Ti 0.554 6.313 0.000
Ti 1.490 2.964 1.895
Ti 2.964 8.567 1.895
Ti 3.744 0.554 0.000
Ti 6.313 9.503 0.000
Ti 7.093 1.490 1.895
Ti 8.567 7.093 1.895
Ti 9.503 3.744 0.000
S 0.768 7.744 1.895
S 1.873 4.337 0.000
S 2.313 0.768 1.895
S 4.337 8.183 0.000
S 5.720 1.873 0.000
S 7.744 9.288 1.895
S 8.183 5.720 0.000
S 9.288 2.313 1.895
```

Summary:
**E_form (uncorrected)**: -1.08 eV per atom
**Magnetization**: 0.0 μB/cell